# 1
Material: NdPbO2
Method: DFT, PBE-GGA
State: relaxed

Output
ρ	7.00	Mg/m³
D(E_F)	4.6	states/eV/cell
offset from the most stable computed form	0.813	eV per atom

a = 3.844 Å, b = 3.844 Å, c = 7.453 Å
α = 75.06°, β = 75.06°, γ = 60.00°
Positions (direct):
O: 0.104 0.104 0.689
O: 0.896 0.896 0.311
Nd: 0.000 0.000 0.000
Pb: 0.500 0.500 0.500

# 2
Material: NdPbO
Method: DFT, PBE-GGA
State: relaxed

Output
ρ	8.64	Mg/m³
D(E_F)	1.7	states/eV/cell
offset from the most stable computed form	0.000	eV per atom

a = 4.141 Å, b = 4.149 Å, c = 8.219 Å
α = 90.00°, β = 90.00°, γ = 90.00°
Positions (direct):
Pb: 0.814 0.134 0.497
Pb: 0.314 0.634 0.664
O: 0.314 0.134 0.081
O: 0.814 0.634 0.080
Nd: 0.314 0.634 0.217
Nd: 0.814 0.134 0.944

# 3
Material: Nd2PbO
Method: DFT, PBE-GGA
State: relaxed

Output
ρ	8.90	Mg/m³
D(E_F)	1.7	states/eV/cell
offset from the most stable computed form	0.174	eV per atom

a = 3.723 Å, b = 3.723 Å, c = 8.238 Å
α = 76.94°, β = 76.94°, γ = 60.00°
Positions (direct):
Pb: 0.500 0.500 0.500
Nd: 0.277 0.277 0.170
Nd: 0.723 0.723 0.830
O: 0.000 0.000 0.000

# 4
Material: Nd2Pb2O7
Method: DFT, PBE-GGA
State: relaxed

Output
ρ	8.15	Mg/m³
total DFT energy (no corrections)	-6.7735	eV per atom

a = 7.774 Å, b = 7.774 Å, c = 7.774 Å
α = 60.00°, β = 60.00°, γ = 60.00°
Positions (direct):
Nd: 0.625 0.625 0.625
Nd: 0.625 0.625 0.125
Nd: 0.625 0.125 0.625
Nd: 0.125 0.625 0.625
Pb: 0.125 0.625 0.125
Pb: 0.625 0.125 0.125
Pb: 0.125 0.125 0.125
Pb: 0.125 0.125 0.625
O: 0.750 0.750 0.750
O: 0.500 0.500 0.500
O: 0.219 0.219 0.781
O: 0.219 0.781 0.219
O: 0.469 0.031 0.469
O: 0.781 0.219 0.219
O: 0.781 0.781 0.219
O: 0.469 0.031 0.031
O: 0.469 0.469 0.031
O: 0.031 0.469 0.031
O: 0.781 0.219 0.781
O: 0.031 0.031 0.469
O: 0.031 0.469 0.469
O: 0.219 0.781 0.781

# 5
Material: Nd3PbO7
Method: DFT, PBE-GGA
State: relaxed

Output
ρ	7.24	Mg/m³
D(E_F)	10.1	states/eV/cell
total DFT energy (no corrections)	-7.3013	eV per atom

a = 6.828 Å, b = 6.828 Å, c = 7.899 Å
α = 90.00°, β = 90.00°, γ = 110.57°
Positions (direct):
O: 0.092 0.341 0.969
O: 0.632 0.368 0.250
O: 0.341 0.092 0.031
O: 0.630 0.370 0.750
O: 0.370 0.630 0.250
O: 0.089 0.911 0.750
O: 0.908 0.659 0.469
O: 0.911 0.089 0.250
O: 0.659 0.908 0.970
O: 0.368 0.632 0.750
O: 0.908 0.659 0.030
O: 0.341 0.092 0.470
O: 0.659 0.908 0.531
O: 0.092 0.341 0.530
Nd: 0.994 0.532 0.750
Nd: 0.500 0.500 0.000
Nd: 0.500 0.500 0.500
Nd: 0.468 0.006 0.750
Nd: 0.006 0.468 0.250
Nd: 0.532 0.994 0.250
Pb: 0.000 0.000 0.500
Pb: 0.000 0.000 0.000

# 6
Material: Nd3PbO2
Method: DFT, PBE-GGA
State: relaxed

Output
ρ	8.49	Mg/m³
D(E_F)	5.6	states/eV/cell
offset from the most stable computed form	0.188	eV per atom

a = 3.568 Å, b = 6.479 Å, c = 11.373 Å
α = 90.00°, β = 90.00°, γ = 90.00°
Positions (direct):
Pb: 0.000 0.534 0.136
Pb: 0.000 0.034 0.864
Nd: 0.500 0.270 0.663
Nd: 0.500 0.102 0.111
Nd: 0.500 0.770 0.337
Nd: 0.500 0.602 0.889
Nd: 0.000 0.766 0.599
Nd: 0.000 0.266 0.401
O: 0.500 0.517 0.497
O: 0.500 0.017 0.503
O: 0.000 0.512 0.746
O: 0.000 0.012 0.254

# 7
Material: Nd7Pb4O
Method: DFT, PBE-GGA
State: relaxed

Output
ρ	7.76	Mg/m³
D(E_F)	8.9	states/eV/cell
total DFT energy (no corrections)	-5.1687	eV per atom

a = 5.227 Å, b = 9.386 Å, c = 8.923 Å
α = 76.61°, β = 72.97°, γ = 73.83°
Positions (direct):
Nd: 0.067 0.753 0.113
Nd: 0.363 0.546 0.727
Nd: 0.933 0.247 0.887
Nd: 0.211 0.143 0.434
Nd: 0.637 0.454 0.273
Nd: 0.500 0.000 0.000
Nd: 0.789 0.857 0.566
O: 0.000 0.000 0.000
Pb: 0.279 0.344 0.097
Pb: 0.579 0.212 0.631
Pb: 0.721 0.656 0.903
Pb: 0.421 0.788 0.369

# 8
Material: Nd2PbO6
Method: DFT, PBE-GGA
State: relaxed

Output
ρ	7.56	Mg/m³
D(E_F)	2.1	states/eV/cell
total DFT energy (no corrections)	-6.7531	eV per atom

a = 3.917 Å, b = 5.792 Å, c = 6.560 Å
α = 116.19°, β = 101.87°, γ = 90.00°
Positions (direct):
Pb: 0.000 0.000 0.000
O: 0.826 0.088 0.691
O: 0.174 0.398 0.309
O: 0.826 0.602 0.691
O: 0.174 0.912 0.309
O: 0.500 0.764 0.000
O: 0.500 0.236 0.000
Nd: 0.684 0.669 0.338
Nd: 0.316 0.331 0.662

# 9
Material: Nd2PbO
Method: DFT, PBE-GGA
State: relaxed

Output
ρ	9.73	Mg/m³
D(E_F)	1.8	states/eV/cell
offset from the most stable computed form	0.563	eV per atom

a = 3.286 Å, b = 3.286 Å, c = 8.093 Å
α = 90.00°, β = 90.00°, γ = 90.00°
Positions (direct):
Nd: 0.000 0.000 0.195
Nd: 0.000 0.000 0.805
Pb: 0.500 0.500 0.500
O: 0.500 0.500 0.000

# 10
Material: Nd3PbO2
Method: DFT, PBE-GGA
State: relaxed

Output
ρ	8.22	Mg/m³
D(E_F)	2.6	states/eV/cell
offset from the most stable computed form	0.000	eV per atom

a = 4.754 Å, b = 4.754 Å, c = 6.884 Å
α = 110.20°, β = 110.20°, γ = 90.00°
Positions (direct):
O: 0.700 0.700 0.400
O: 0.300 0.300 0.600
Nd: 0.750 0.250 0.500
Nd: 0.250 0.750 0.500
Nd: 0.500 0.500 0.000
Pb: 0.000 0.000 0.000

# 11
Material: Nd4Pb6O19
Method: DFT, PBE-GGA
State: relaxed

Output
ρ	7.61	Mg/m³
D(E_F)	20.0	states/eV/cell
total DFT energy (no corrections)	-6.2190	eV per atom

a = 8.442 Å, b = 8.442 Å, c = 8.442 Å
α = 109.47°, β = 109.47°, γ = 109.47°
Positions (direct):
Pb: 0.331 0.500 0.831
Pb: 0.669 0.500 0.169
Pb: 0.831 0.331 0.500
Pb: 0.500 0.831 0.331
Pb: 0.500 0.169 0.669
Pb: 0.169 0.669 0.500
O: 0.266 0.668 0.033
O: 0.332 0.598 0.365
O: 0.658 0.000 0.658
O: 0.000 0.658 0.658
O: 0.365 0.332 0.598
O: 0.635 0.233 0.967
O: 0.967 0.635 0.233
O: 0.000 0.342 0.342
O: 0.000 0.000 0.000
O: 0.767 0.402 0.734
O: 0.668 0.033 0.266
O: 0.402 0.734 0.767
O: 0.734 0.767 0.402
O: 0.342 0.000 0.342
O: 0.598 0.365 0.332
O: 0.233 0.967 0.635
O: 0.658 0.658 0.000
O: 0.342 0.342 0.000
O: 0.033 0.266 0.668
Nd: 0.288 0.288 0.288
Nd: 0.712 0.000 0.000
Nd: 0.000 0.000 0.712
Nd: 0.000 0.712 0.000

# 12
Material: NdPbO
Method: DFT, PBE-GGA
State: relaxed

Output
ρ	8.29	Mg/m³
D(E_F)	1.2	states/eV/cell
offset from the most stable computed form	0.160	eV per atom

a = 3.927 Å, b = 3.927 Å, c = 11.250 Å
α = 79.93°, β = 79.95°, γ = 60.00°
Positions (direct):
Pb: 0.132 0.131 0.605
Pb: 0.868 0.869 0.395
Nd: 0.379 0.379 0.862
Nd: 0.621 0.621 0.138
O: 0.695 0.695 0.916
O: 0.305 0.305 0.084